A geometry-optimized TbEr2Hg4 structure, computed with GGA-PBE.

Values from the calculation:
- total magnetization (μB per cell) = 0.0
- energy above the most stable polymorph in this dataset (meV/atom) = 466
- calculated total energy (Ry per atom) = -0.1523
- calculated formation energy (meV/atom) = 66

a b c (Å): 5.618 5.618 15.266
angles (deg): 90.00 90.00 90.00
Space group I4/mmm (No. 139)
Inequivalent atoms, fractional coordinates:
Tb1 0.000 0.000 0.000
Er1 0.000 0.000 0.399
Hg1 0.000 0.000 0.201
Hg2 0.000 0.500 0.000